## MgZnCrF6 (PBE with a Hubbard U)

Data for a relaxed MgZnCrF6 crystal.

Computed properties:
VASP energy	-5.0788	eV per atom
density of states at the Fermi level	7.055	states/eV/f.u.

abc: 5.2694 5.2694 9.0139
angles: 90.00 90.00 120.00
Closest atoms and distances in Å follow each position.
Fractional coordinates of all 18 atoms:
F 0.3280 0.0093 0.6263  1 Mg 2.05, 1 Zn 2.07, 1 Cr 2.13
F 0.9907 0.3187 0.6263  1 Mg 2.05, 1 Zn 2.07, 1 Cr 2.13
F 0.3187 0.3280 0.3737  1 Mg 2.05, 1 Zn 2.07, 1 Cr 2.13
F 0.0093 0.6813 0.3737  1 Mg 2.05, 1 Zn 2.07, 1 Cr 2.13
F 0.6813 0.0093 0.8737  1 Mg 2.05, 1 Zn 2.07, 1 Cr 2.13
F 0.3187 0.9907 0.1263  1 Mg 2.05, 1 Zn 2.07, 1 Cr 2.13
F 0.6720 0.9907 0.3737  1 Mg 2.05, 1 Zn 2.07, 1 Cr 2.13
F 0.9907 0.6720 0.8737  1 Mg 2.05, 1 Zn 2.07, 1 Cr 2.13
F 0.0093 0.3280 0.1263  1 Mg 2.05, 1 Zn 2.07, 1 Cr 2.13
F 0.6720 0.6813 0.1263  1 Mg 2.05, 1 Zn 2.07, 1 Cr 2.13
F 0.6813 0.6720 0.6263  1 Mg 2.05, 1 Zn 2.07, 1 Cr 2.13
F 0.3280 0.3187 0.8737  1 Mg 2.05, 1 Zn 2.07, 1 Cr 2.13
Cr 0.3333 0.6667 0.7500  6 F 2.13
Cr 0.6667 0.3333 0.2500  6 F 2.13
Zn 0.6667 0.3333 0.7500  6 F 2.07
Zn 0.3333 0.6667 0.2500  6 F 2.07
Mg 0.0000 0.0000 0.5000  6 F 2.05
Mg 0.0000 0.0000 0.0000  6 F 2.05